1.
TaMnCd | Alexandria | meta-GGA SCAN | PBEsol geometry; energy = -37.191 eV/atom; symmetry = F-43m (216); polymorph energy (0 for the lowest one) = 0.493 eV/atom; calculated formation energy = 1.23 eV/atom
1.0
-0.777 -2.373 3.520
2.567 -3.332 0.966
2.658 0.237 3.392
Cd Mn Ta
1 1 1
Direct
0.000 0.000 0.000
0.500 0.500 0.500
0.250 0.250 0.250

---

2.
LiNiBO3 | Alexandria | meta-GGA SCAN | PBEsol geometry; energy = -9.561 eV/atom; symmetry = P-1 (2); polymorph energy (0 for the lowest one) = 0.000 eV/atom; raw formation energy = -2.114 eV/atom
1.0
-3.540 0.031 -3.336
-1.488 -0.045 4.827
2.726 4.990 0.486
Li Ni B O
2 2 2 6
Direct
0.446 0.395 0.684
0.554 0.605 0.316
0.176 0.765 0.749
0.824 0.235 0.251
0.810 0.094 0.747
0.190 0.906 0.253
0.007 0.318 0.662
0.993 0.682 0.338
0.621 0.156 0.850
0.379 0.844 0.150
0.772 0.805 0.711
0.228 0.195 0.289

---

3.
LiOsSN2 | Alexandria | meta-GGA SCAN | PBEsol geometry; energy = -20.268 eV/atom; symmetry = P4/mmm (123); polymorph energy (0 for the lowest one) = 0.000 eV/atom; raw formation energy = 0.228 eV/atom
1.0
-0.036 -2.997 2.243
3.347 -1.030 -1.322
2.269 2.699 3.643
S Li Os N
1 1 1 2
Direct
0.000 0.000 0.500
0.500 0.500 0.500
0.000 0.000 0.000
0.000 0.500 0.000
0.500 0.000 0.000